# CoAuBr

CoAuBr at its PBEsol-relaxed geometry (meta-GGA SCAN, Alexandria).

## Properties
Final energy, eV per atom: -35.15
Formation energy from raw total energies, eV/atom: 0.16
E above lowest polymorph, eV per atom: 0.000

a = 3.299 Å, b = 3.299 Å, c = 5.739 Å
α = 90.00°, β = 90.00°, γ = 120.00°
Atoms (fractional coordinates):
Co 0.000 0.000 0.000
Au 0.333 0.667 0.709
Br 0.667 0.333 0.232